## Al2Si2O7 (GGA-PBE)

Data for Al2Si2O7 after structural relaxation.

Its space-group type is C2/c, No. 15. Its crystal system is monoclinic. The total DFT energy (no corrections) is -7.7038 eV/atom. The density of states at the Fermi level comes out at 0.000 states/eV/cell.

extended XYZ file:
```
22
Lattice="-4.076 1.155 3.047 -0.623 -5.174 0.265 2.890 -2.268 8.746" Properties=species:S:1:pos:R:3 pbc="T T T"
Al 1.549 -4.001 9.420
Al -1.396 -4.365 6.594
Al -0.412 -1.922 5.463
Al -3.357 -2.286 2.637
Si -2.298 -2.956 9.311
Si -1.993 -5.029 3.528
Si 0.185 -1.258 8.529
Si 0.489 -3.331 2.746
O 1.283 -2.405 8.745
O 0.222 -3.525 6.332
O -0.521 -4.604 2.951
O -2.188 -4.024 8.121
O 2.120 -4.785 7.755
O 0.046 -5.053 9.589
O -1.178 -0.254 4.876
O -0.630 -6.033 7.181
O -1.855 -1.234 2.467
O -3.929 -1.502 4.302
O 0.380 -2.263 3.936
O -1.288 -1.683 9.106
O -2.030 -2.762 5.725
O -3.092 -3.882 3.311
```

---

## AlSi3O8 (GGA-PBE)

Data for AlSi3O8 after structural relaxation.

Its space-group type is P-1, No. 2. Its crystal system is triclinic. The total DFT energy (no corrections) is -7.4224 eV/atom. The density of states at the Fermi level comes out at 0.000 states/eV/cell.

extended XYZ file:
```
24
Lattice="-4.136 -5.972 2.877 0.135 -1.969 -6.701 7.373 0.775 1.357" Properties=species:S:1:pos:R:3 pbc="T T T"
Al 0.009 -2.211 -2.788
Al 3.362 -4.954 0.321
Si 5.135 -2.881 0.586
Si 0.275 -2.596 0.259
Si -1.764 -4.285 -3.052
Si 3.096 -4.569 -2.726
Si 2.087 -2.397 -4.897
Si 1.284 -4.769 2.430
O -1.474 -4.977 -1.544
O -1.380 -2.689 0.213
O 4.845 -2.189 -0.922
O 4.751 -4.476 -2.680
O 0.708 -2.632 -1.289
O 3.021 0.066 0.564
O 2.664 -4.534 -1.178
O 0.350 -7.231 -3.031
O 1.098 -1.328 -4.018
O 2.273 -5.837 1.551
O -0.471 -3.617 -3.722
O 0.932 -1.219 0.833
O 3.842 -3.548 1.255
O 2.440 -5.947 -3.300
O 2.674 -3.297 -3.683
O 0.697 -3.868 1.216
```

---

## Al2SiO5 (GGA-PBE)

Data for Al2SiO5 after structural relaxation.

Its space-group type is P-1, No. 2. Its crystal system is triclinic. The total DFT energy (no corrections) is -7.3973 eV/atom. The density of states at the Fermi level comes out at 0.000 states/eV/cell.

extended XYZ file:
```
32
Lattice="5.327 -0.003 0.008 1.592 8.452 -0.032 1.752 2.662 7.966" Properties=species:S:1:pos:R:3 pbc="T T T"
Al 3.683 8.846 5.426
Al 5.612 8.561 0.402
Al 2.364 2.074 1.577
Al 6.307 9.036 6.365
Al 2.500 7.817 2.600
Al 3.059 2.550 7.540
Al 6.171 3.294 5.342
Al 4.988 2.264 2.516
Si 5.055 6.672 4.540
Si 2.139 6.453 5.279
Si 6.532 4.658 2.663
Si 3.616 4.439 3.402
O 7.764 7.647 6.344
O 4.132 3.918 7.954
O 4.748 3.325 4.121
O 4.538 7.193 -0.012
O 6.772 3.405 7.014
O 5.077 7.695 5.919
O 3.594 3.416 2.023
O 6.677 7.322 3.999
O 0.907 3.464 1.597
O 5.118 5.519 3.031
O 1.994 3.788 3.943
O 7.559 9.908 5.345
O 3.553 5.592 4.911
O 3.923 7.786 3.821
O 1.899 7.706 0.928
O 6.134 5.483 5.432
O 1.112 1.202 2.597
O 2.537 5.628 2.510
O 3.852 0.993 2.000
O 4.819 10.118 5.942
```

---

## Al2Si4O11 (GGA-PBE)

Data for Al2Si4O11 after structural relaxation.

Its space-group type is P-1, No. 2. Its crystal system is triclinic. The total DFT energy (no corrections) is -7.7618 eV/atom. The density of states at the Fermi level comes out at 0.000 states/eV/cell.

extended XYZ file:
```
17
Lattice="-0.749 -2.935 -4.285 4.105 -0.990 -3.118 3.358 -8.409 4.264" Properties=species:S:1:pos:R:3 pbc="T T T"
Al 2.306 -2.695 -5.084
Al 4.409 -9.639 1.945
Si 5.343 -6.811 0.756
Si 1.372 -5.524 -3.895
Si 2.425 -7.206 1.253
Si 4.290 -5.128 -4.392
O 1.678 -1.963 -3.701
O 4.731 -10.934 -2.392
O 1.983 -1.400 -0.747
O 2.831 -8.713 1.796
O 3.884 -3.622 -4.934
O 3.744 -6.533 0.562
O 2.971 -5.802 -3.701
O 5.346 -8.404 -2.974
O 1.369 -3.930 -0.165
O 6.003 -7.243 -0.662
O 0.712 -5.092 -2.477
```

---

## AlSi2O (GGA-PBE)

Data for AlSi2O after structural relaxation.

Its space-group type is Fm-3m, No. 225. Its crystal system is cubic. The total DFT energy (no corrections) is -4.5036 eV/atom. The density of states at the Fermi level comes out at 3.836 states/eV/cell.

extended XYZ file:
```
4
Lattice="0.000 3.006 3.006 3.006 0.000 3.006 3.006 3.006 0.000" Properties=species:S:1:pos:R:3 pbc="T T T"
Si 1.503 1.503 1.503
Si 4.508 4.508 4.508
Al 3.006 3.006 3.006
O 0.000 0.000 0.000
```

---

## AlSiO2 (GGA-PBE)

Data for AlSiO2 after structural relaxation.

Its space-group type is Fm-3m, No. 225. Its crystal system is cubic. The total DFT energy (no corrections) is -5.1732 eV/atom. The density of states at the Fermi level comes out at 1.020 states/eV/cell.

extended XYZ file:
```
4
Lattice="-3.565 -1.455 0.812 -3.222 2.067 -0.910 -2.347 -1.200 -2.922" Properties=species:S:1:pos:R:3 pbc="T T T"
Si -4.567 -0.294 -1.510
Al 0.000 0.000 0.000
O -2.284 -0.147 -0.755
O -6.851 -0.440 -2.265
```